1.
Density functional theory data (GGA-PBE) for crystalline DyHoErAg at its relaxed geometry.

extended XYZ file:
```
4
Lattice="3.5378 0.0000 0.0000 0.0000 3.5378 0.0000 0.0000 0.0000 8.8302" Properties=species:S:1:pos:R:3 pbc="T T T"
Ho 1.7689 1.7689 6.9440
Er 1.7689 1.7689 3.1513
Ag 0.0000 0.0000 5.0276
Dy 0.0000 0.0000 0.6364
```

Values from the calculation:
Symmetry: P4mm
Energy of formation from the pure elements in eV/atom: -0.134
ρ in g/cm3: 9.05
N(E_F) in states/eV/cell: 4.69

=====

2.
Density functional theory data (GGA-PBE) for crystalline Pa2Fe3Re at its relaxed geometry.

extended XYZ file:
```
6
Lattice="-4.3527 -1.7136 -2.5451 4.6514 -2.4962 -0.7022 0.5385 -0.3736 4.9002" Properties=species:S:1:pos:R:3 pbc="T T T"
Fe 0.2693 -0.1868 2.4501
Fe -1.9071 -1.0436 1.1776
Fe 0.4186 -2.2917 0.8265
Re 0.0000 0.0000 0.0000
Pa 2.2868 -2.3251 3.2247
Pa -1.4496 -2.2584 -1.5718
```

Values from the calculation:
Symmetry: R-3m
Energy of formation from the pure elements in eV/atom: -0.170
ρ in g/cm3: 14.25
N(E_F) in states/eV/cell: 6.51

=====

3.
Density functional theory data (GGA-PBE) for crystalline KTaCd2 at its relaxed geometry.

extended XYZ file:
```
4
Lattice="5.0660 -0.0293 0.0104 4.2744 2.7194 0.0104 0.4529 0.1304 7.6878" Properties=species:S:1:pos:R:3 pbc="T T T"
Ta 2.4483 0.7051 1.9271
Cd 4.9497 1.4255 3.3453
Cd 9.2873 2.6747 0.5298
K 7.3449 2.1153 5.7814
```

Values from the calculation:
Symmetry: C2/m
Energy above the lowest structure with this stoichiometry in meV/atom: 186
Energy of formation from the pure elements in eV/atom: 0.580
ρ in g/cm3: 6.91
N(E_F) in states/eV/cell: 3.24

=====

4.
Density functional theory data (GGA-PBE) for crystalline CaLuMgAg at its relaxed geometry.

extended XYZ file:
```
4
Lattice="-3.2892 -3.5206 2.0939 0.7993 -5.1326 -0.7843 1.5943 -3.0470 3.9713" Properties=species:S:1:pos:R:3 pbc="T T T"
Mg -0.6717 -8.7752 3.9607
Ag -0.2239 -2.9251 1.3202
Lu 0.0000 0.0000 0.0000
Ca -0.4478 -5.8501 2.6404
```

Values from the calculation:
Symmetry: F-43m
Energy of formation from the pure elements in eV/atom: -0.115
ρ in g/cm3: 5.62
N(E_F) in states/eV/cell: 3.33

=====

5.
Density functional theory data (GGA-PBE) for crystalline Pr2PuZn6 at its relaxed geometry.

extended XYZ file:
```
9
Lattice="-1.7248 2.8359 0.8994 -6.6448 -2.9572 -3.4190 1.5505 -1.5115 7.7394" Properties=species:S:1:pos:R:3 pbc="T T T"
Pu 1.5505 -1.5115 7.7394
Zn -3.0550 0.4421 -0.6785
Zn -4.2757 -1.5762 3.3445
Zn 0.1765 0.4052 5.6353
Zn -0.3508 0.9192 3.0035
Zn -3.7641 -2.0750 5.8984
Zn -2.5434 -0.0566 1.8753
Pr -5.6379 0.3605 1.1999
Pr -1.1812 -1.9934 4.0200
```

Values from the calculation:
Symmetry: P6/mmm
Energy of formation from the pure elements in eV/atom: -0.260
ρ in g/cm3: 7.93
N(E_F) in states/eV/cell: 14.33

=====

6.
Density functional theory data (GGA-PBE) for crystalline Pm3Ga2C at its relaxed geometry.

extended XYZ file:
```
12
Lattice="-2.8169 4.2150 4.8320 -3.5964 -5.5330 -2.3457 2.7166 -3.8673 4.9572" Properties=species:S:1:pos:R:3 pbc="T T T"
Ga -0.8297 -5.8524 4.6215
Ga -2.8671 0.6672 2.8221
Ga -1.9282 -0.6695 4.5354
Ga -1.7686 -4.5158 2.9082
Pm 0.5804 -2.4432 4.8732
Pm -4.2772 -2.7421 2.5704
Pm -2.7942 -4.9610 0.0267
Pm -0.9026 -0.2242 7.4169
Pm -0.9009 -2.0483 1.2615
Pm -2.7958 -3.1370 6.1821
C 1.3583 -1.9337 2.4786
C 0.0000 0.0000 0.0000
```

Values from the calculation:
Symmetry: P6_3/mmc
Energy above the lowest structure with this stoichiometry in meV/atom: 0
Energy of formation from the pure elements in eV/atom: -0.331
ρ in g/cm3: 6.69
N(E_F) in states/eV/cell: 5.71

=====

7.
Density functional theory data (GGA-PBE) for crystalline Y2Zn3Cu12Sn at its relaxed geometry.

extended XYZ file:
```
18
Lattice="-5.7034 2.5387 2.0640 -3.7005 -4.6155 -2.8702 -0.3578 -3.7952 5.3575" Properties=species:S:1:pos:R:3 pbc="T T T"
Cu -7.6058 -2.7528 0.9040
Cu -4.2301 -4.1473 4.2961
Cu -5.7266 -4.5145 0.6127
Cu -2.1559 -3.1192 3.6474
Cu -3.1384 -4.5603 1.7297
Cu -5.9042 -2.3352 5.0921
Cu -4.8770 0.1050 1.9709
Cu -4.0351 -1.3574 3.9387
Cu -3.8574 -3.5367 -0.5407
Cu -6.6233 -1.3116 2.8217
Cu -4.8847 -5.9770 2.5804
Cu -5.5316 -1.7247 0.2553
Y -2.8528 -1.7161 1.3301
Y -6.9088 -4.1559 3.2213
Zn -1.8502 -2.3078 -1.4351
Zn -2.8517 1.2694 1.0320
Zn -0.1789 -1.8976 2.6788
Sn 0.0000 0.0000 0.0000
```

Values from the calculation:
Symmetry: R-3m
Energy of formation from the pure elements in eV/atom: 0.057
ρ in g/cm3: 7.40
N(E_F) in states/eV/cell: 8.34

=====

8.
Density functional theory data (GGA-PBE) for crystalline YTmP2 at its relaxed geometry.

extended XYZ file:
```
8
Lattice="0.1714 -2.0077 -5.2549 5.6027 0.5329 -0.0209 -2.3818 -4.4951 4.6536" Properties=species:S:1:pos:R:3 pbc="T T T"
Y 0.3383 -3.6202 -1.6196
Y 0.0000 0.0000 0.0000
Tm 3.0539 -2.3498 0.9974
Tm 2.8870 -0.7374 -2.6379
P 2.8032 0.2473 -0.0031
P 3.1378 -3.3346 -1.6374
P 3.3047 -4.9470 1.9979
P 0.2544 -2.6354 1.0152
```

Values from the calculation:
Symmetry: I4_1/amd
Energy above the lowest structure with this stoichiometry in meV/atom: 0
Energy of formation from the pure elements in eV/atom: -1.617
ρ in g/cm3: 5.96
N(E_F) in states/eV/cell: 0.97

=====

9.
Density functional theory data (GGA-PBE) for crystalline GaFeHgGe2 at its relaxed geometry.

extended XYZ file:
```
5
Lattice="4.5891 0.0000 0.0000 0.0000 4.5891 0.0000 0.0000 0.0000 4.7292" Properties=species:S:1:pos:R:3 pbc="T T T"
Ga 0.0000 0.0000 2.3646
Ge 0.0000 2.2945 0.0000
Ge 2.2945 0.0000 0.0000
Fe 0.0000 0.0000 0.0000
Hg 2.2945 2.2945 2.3646
```

Values from the calculation:
Symmetry: P4/mmm
Energy of formation from the pure elements in eV/atom: 0.078
ρ in g/cm3: 7.86
N(E_F) in states/eV/cell: 2.29

=====

10.
Density functional theory data (GGA-PBE) for crystalline YTe2Pt at its relaxed geometry.

extended XYZ file:
```
4
Lattice="-5.1002 -2.8175 -1.6842 0.2205 -5.3376 -2.8718 2.3546 2.6526 4.9199" Properties=species:S:1:pos:R:3 pbc="T T T"
Y -2.4398 -4.0776 -2.2780
Pt -2.5927 -2.1212 0.4789
Te 0.0000 0.0000 0.0000
Te 0.0676 -3.3813 -0.1149
```

Values from the calculation:
Symmetry: I-4m2
Energy above the lowest structure with this stoichiometry in meV/atom: 301
E_form (uncorrected) in eV/atom: -0.625
ρ in g/cm3: 9.42
N(E_F) in states/eV/cell: 2.14

=====

11.
Density functional theory data (GGA-PBE) for crystalline MnReP2S at its relaxed geometry.

extended XYZ file:
```
5
Lattice="4.3078 0.0000 0.0000 0.0000 4.3078 0.0000 0.0000 0.0000 4.4440" Properties=species:S:1:pos:R:3 pbc="T T T"
P 0.0000 2.1539 0.0000
P 2.1539 0.0000 0.0000
Mn 0.0000 0.0000 0.0000
S 0.0000 0.0000 2.2220
Re 2.1539 2.1539 2.2220
```

Values from the calculation:
Symmetry: P4/mmm
Energy above the lowest structure with this stoichiometry in meV/atom: 0
E_form (uncorrected) in eV/atom: 1.109
ρ in g/cm3: 6.75
N(E_F) in states/eV/cell: 5.11

=====

12.
Density functional theory data (GGA-PBE) for crystalline La2Tb3Pm8 at its relaxed geometry.

extended XYZ file:
```
13
Lattice="-5.1846 1.7139 1.5838 -1.2296 -6.8268 3.3627 4.6079 7.1391 7.3426" Properties=species:S:1:pos:R:3 pbc="T T T"
Pm -2.1293 -0.3744 3.6411
Pm 0.6977 -2.1843 4.6565
Pm 0.8317 5.2254 7.2566
Pm -2.5040 4.2106 7.6326
Pm 0.3230 2.4007 8.6480
Pm 2.3518 -0.6434 8.3896
Pm -4.1581 2.6697 3.8996
Pm -2.6380 -3.1991 5.0325
Tb -0.3516 -1.9521 0.9615
Tb -0.8780 -4.8747 2.4011
Tb -2.5923 0.8570 0.7919
La -1.1478 -0.6275 7.1423
La -0.6586 2.6538 5.1468
```

Values from the calculation:
Symmetry: C2/m
Energy above the lowest structure with this stoichiometry in meV/atom: 48
Energy of formation from the pure elements in eV/atom: 0.211
ρ in g/cm3: 6.88
N(E_F) in states/eV/cell: 21.46

=====

13.
Density functional theory data (GGA-PBE) for crystalline ThTl2TcO6 at its relaxed geometry.

extended XYZ file:
```
10
Lattice="6.0332 0.0003 -0.0002 0.0003 6.0336 -0.0004 3.0168 3.0170 4.2652" Properties=species:S:1:pos:R:3 pbc="T T T"
Tl 3.0173 6.0334 2.1325
Tl 6.0330 3.0176 2.1321
O 1.6463 4.3883 -0.0003
O 6.0331 6.0336 2.3260
O 3.0172 3.0174 1.9385
O 4.6626 4.6641 4.2645
O 7.4040 4.6626 4.2649
O 4.3877 4.3869 0.0001
Tc 3.0167 3.0169 -0.0003
Th 0.0000 0.0000 0.0000
```

Values from the calculation:
Symmetry: Fm-3m
E_form (uncorrected) in eV/atom: -1.839
ρ in g/cm3: 8.93
N(E_F) in states/eV/cell: 2.78

=====

14.
Density functional theory data (GGA-PBE) for crystalline Ho3Tm2Th4 at its relaxed geometry.

extended XYZ file:
```
9
Lattice="5.0205 0.0000 0.0000 0.0000 7.8780 0.7214 -2.5102 -3.0056 6.9020" Properties=species:S:1:pos:R:3 pbc="T T T"
Th 2.5102 2.2811 1.0478
Th 0.0000 2.5912 6.5756
Th 2.5102 3.5645 4.3319
Th 0.0000 1.3078 3.2916
Ho 2.5102 0.2974 5.6125
Ho 0.0000 0.0000 0.0000
Ho 0.0000 4.5749 2.0109
Tm 2.5102 -0.9898 2.3092
Tm 0.0000 5.8621 5.3142
```

Values from the calculation:
Symmetry: C2/m
Energy above the lowest structure with this stoichiometry in meV/atom: 0
Energy of formation from the pure elements in eV/atom: 0.042
ρ in g/cm3: 10.30
N(E_F) in states/eV/cell: 13.95

=====

15.
Density functional theory data (GGA-PBE) for crystalline Sm3Tm2Bi3 at its relaxed geometry.

extended XYZ file:
```
16
Lattice="6.4516 0.0000 0.0000 0.0000 9.2509 0.0000 0.0000 -4.6255 8.0115" Properties=species:S:1:pos:R:3 pbc="T T T"
Tm 0.0000 4.6255 2.6705
Tm 0.0000 0.0000 5.3410
Tm 3.2258 4.6255 2.6705
Tm 3.2258 0.0000 5.3410
Bi 1.6129 -1.8183 3.1494
Bi 1.6129 2.8072 4.8622
Bi 4.8387 -2.8072 4.8622
Bi 4.8387 1.8183 3.1494
Bi 4.8387 5.6144 0.0000
Bi 1.6129 3.6366 0.0000
Sm 4.8387 -1.1343 1.9647
Sm 4.8387 2.2686 0.0000
Sm 4.8387 3.4911 6.0468
Sm 1.6129 -3.4911 6.0468
Sm 1.6129 1.1343 1.9647
Sm 1.6129 6.9823 0.0000
```

Values from the calculation:
Symmetry: P6_3/mcm
Energy of formation from the pure elements in eV/atom: -0.702
ρ in g/cm3: 9.83
N(E_F) in states/eV/cell: 15.39

=====

16.
Density functional theory data (GGA-PBE) for crystalline La2CePr3Sm6 at its relaxed geometry.

extended XYZ file:
```
12
Lattice="6.3625 -0.0045 0.0096 -3.1836 5.5087 0.0096 -1.0826 -1.8745 11.8755" Properties=species:S:1:pos:R:3 pbc="T T T"
Sm -1.0568 1.8059 2.9551
Sm 0.0039 3.6426 8.9397
Sm 2.1232 3.6763 2.9656
Sm 3.1531 1.8238 8.9397
Sm -0.0269 -0.0466 8.9292
Sm 2.0923 -0.0129 2.9551
Pr 1.0481 1.8148 5.9474
Pr -2.1329 3.6520 5.9474
Pr 4.2291 -0.0223 5.9474
La 0.0018 3.6690 0.0096
La 3.1771 1.8352 0.0096
Ce 0.0000 0.0000 0.0000
```

Values from the calculation:
Symmetry: C2/m
Energy of formation from the pure elements in eV/atom: 0.035
ρ in g/cm3: 6.95
N(E_F) in states/eV/cell: 22.27

=====

17.
Density functional theory data (GGA-PBE) for crystalline Li2Cd2AgAu at its relaxed geometry.

extended XYZ file:
```
12
Lattice="-4.6304 -0.1666 0.6875 0.0746 -5.6672 -0.8706 1.1902 -1.1721 7.7320" Properties=species:S:1:pos:R:3 pbc="T T T"
Au 0.5934 -0.6192 3.8463
Au 0.6351 -3.4571 3.4395
Cd -1.0905 -4.1460 7.6074
Cd 0.2279 -1.7283 1.1159
Cd 1.0398 -5.3248 5.7126
Cd -2.3108 -0.1474 0.3582
Li -1.8800 -1.8791 2.8395
Li 0.9894 -2.4790 6.0629
Li -1.4864 -5.0636 4.7191
Li 0.2783 -4.5755 0.7655
Ag -1.5000 -2.2646 5.3052
Ag -1.8661 -4.7010 2.2499
```

Values from the calculation:
Symmetry: Pmc2_1
Energy of formation from the pure elements in eV/atom: -0.253
ρ in g/cm3: 8.50
N(E_F) in states/eV/cell: 3.35

=====

18.
Density functional theory data (GGA-PBE) for crystalline Y2SCl at its relaxed geometry.

extended XYZ file:
```
8
Lattice="-6.0051 0.2173 1.4474 1.3884 -1.0887 5.9238 -1.8447 5.6504 4.6954" Properties=species:S:1:pos:R:3 pbc="T T T"
S -1.3823 2.0630 7.1524
S -2.3084 -0.4357 3.6856
Y -5.4471 3.4942 9.8691
Y -3.0908 3.8922 6.3880
Y -3.9372 1.4086 2.7940
Y -0.4477 0.7631 5.0821
Cl -5.0791 2.7160 4.9142
Cl 0.0000 0.0000 0.0000
```

Values from the calculation:
Symmetry: I-42d
Energy above the lowest structure with this stoichiometry in meV/atom: 343
E_form (uncorrected) in eV/atom: -1.247
ρ in g/cm3: 3.45
N(E_F) in states/eV/cell: 5.37

=====

19.
Density functional theory data (GGA-PBE) for crystalline BaPBr2 at its relaxed geometry.

extended XYZ file:
```
4
Lattice="-1.8238 -3.8657 -4.1933 3.1700 -4.2565 -2.7725 -1.0546 -3.6737 2.6966" Properties=species:S:1:pos:R:3 pbc="T T T"
Br -0.9211 -4.1064 2.1082
Br 0.0123 -5.4652 -1.5462
P 0.0729 -2.9490 -1.0673
Ba 0.2187 -8.8469 -3.2019
```

Values from the calculation:
Symmetry: C2/m
Energy above the lowest structure with this stoichiometry in meV/atom: 0
E_form (uncorrected) in eV/atom: -0.907
ρ in g/cm3: 4.23
N(E_F) in states/eV/cell: 0.97

=====

20.
Density functional theory data (GGA-PBE) for crystalline Ac7Ga2Pt2 at its relaxed geometry.

extended XYZ file:
```
11
Lattice="-1.1303 -7.0488 -2.0250 -1.2432 -1.8839 7.2469 -6.4577 3.6519 -0.1597" Properties=species:S:1:pos:R:3 pbc="T T T"
Ac 0.0000 0.0000 0.0000
Ac -4.7141 -3.0938 4.2732
Ac -4.6858 -5.7163 -0.2037
Ac -4.1454 0.4356 5.2659
Ac -7.9397 -1.2630 4.1735
Ac -4.1170 -2.1869 0.7891
Ac -0.8915 -4.0177 0.8888
Pt -2.6997 -3.8966 -1.4754
Pt -6.1315 -1.3841 6.5376
Ga -7.0497 -3.8196 1.7727
Ga -1.7815 -1.4612 3.2895
```

Values from the calculation:
Symmetry: Cmmm
Energy of formation from the pure elements in eV/atom: -0.477
ρ in g/cm3: 8.91
N(E_F) in states/eV/cell: 9.73